## MnIrRu2 (GGA-PBE)

Data for a geometry-optimized MnIrRu2 structure.

Summary:
- Total energy: -9.142 eV/atom
- D(E_F): 4.5 states/eV/cell

Cell lengths 4.6437, 4.6437, 2.6980 Å; angles 90.00, 90.00, 109.54 degrees
Positions (direct):
1 Mn 0.0000 0.0000 0.0000
2 Ir 0.5000 0.5000 0.0000
3 Ru 0.0000 0.5000 0.5000
4 Ru 0.5000 0.0000 0.5000

=====

## MgMnNi2 (GGA-PBE)

Data for a geometry-optimized MgMnNi2 structure.

Summary:
- Total energy: -5.141 eV/atom
- D(E_F): 6.7 states/eV/cell

Cell lengths 8.8751, 8.8751, 8.8751 Å; angles 155.80, 155.80, 34.48 degrees
Positions (direct):
1 Mg 0.0000 0.0000 0.0000
2 Mg 0.7500 0.2500 0.5000
3 Mn 0.2500 0.7500 0.5000
4 Mn 0.5000 0.5000 0.0000
5 Ni 0.1520 0.6250 0.0270
6 Ni 0.3750 0.4020 0.5270
7 Ni 0.5980 0.1250 0.9730
8 Ni 0.8750 0.8480 0.4730

=====

## Tb2Pm6Hg (GGA-PBE)

Data for a geometry-optimized Tb2Pm6Hg structure.

Summary:
- Total energy: -4.232 eV/atom
- D(E_F): 11.4 states/eV/cell

Cell lengths 9.6485, 9.6485, 9.6485 Å; angles 158.48, 115.19, 69.15 degrees
Positions (direct):
1 Tb 0.1481 0.1481 0.0000
2 Tb 0.8519 0.8519 0.0000
3 Pm 0.1606 0.8210 0.3395
4 Pm 0.2132 0.5000 0.7132
5 Pm 0.4815 0.8210 0.6605
6 Pm 0.5185 0.1790 0.3395
7 Pm 0.7868 0.5000 0.2868
8 Pm 0.8394 0.1790 0.6605
9 Hg 0.5000 0.0000 0.5000

=====

## SrLa2CdC (GGA-PBE)

Data for a geometry-optimized SrLa2CdC structure.

Summary:
- Total energy: -4.385 eV/atom
- D(E_F): 5.9 states/eV/cell

Cell lengths 5.1754, 5.1754, 5.5799 Å; angles 90.00, 90.00, 90.00 degrees
Positions (direct):
1 Sr 0.0000 0.0000 0.0000
2 La 0.0000 0.5000 0.5000
3 La 0.5000 0.0000 0.5000
4 Cd 0.5000 0.5000 0.0000
5 C 0.0000 0.0000 0.5000